Record 1
First-principles (PBE) data for crystalline InCuMoPt at its relaxed geometry, as listed in OQMD.

a = 6.393 Å, b = 6.393 Å, c = 6.393 Å
α = 90.00°, β = 90.00°, γ = 90.00°
Space group F-43m (No. 216)
Asymmetric unit:
In1 0.000 0.000 0.000 [4 per cell]
Cu1 0.250 0.250 0.250 [4 per cell]
Mo1 0.250 0.250 0.750 [4 per cell]
Pt1 0.000 0.000 0.500 [4 per cell]

Results
calculated total energy: -5.659 eV per atom
total magnetization: 5.720 μB/cell
offset from the most stable computed form: 22.8 kJ/mol of formula units

Record 2
First-principles (PBE) data for crystalline ScCuPbW at its relaxed geometry, as listed in OQMD.

a = 6.698 Å, b = 6.698 Å, c = 6.698 Å
α = 90.00°, β = 90.00°, γ = 90.00°
Space group F-43m (No. 216)
Asymmetric unit:
Sc1 0.000 0.000 0.000 [4 per cell]
Cu1 0.250 0.250 0.750 [4 per cell]
Pb1 0.000 0.000 0.500 [4 per cell]
W1 0.250 0.250 0.250 [4 per cell]

Results
calculated total energy: -6.063 eV per atom
total magnetization: 0.282 μB/cell
offset from the most stable computed form: 0.0 kJ/mol of formula units

Record 3
First-principles (PBE) data for crystalline TmTlZnTe3 at its relaxed geometry, as listed in OQMD.

a = 11.518 Å, b = 4.335 Å, c = 15.534 Å
α = 90.00°, β = 90.00°, γ = 90.00°
Space group Pnma (No. 62)
Asymmetric unit:
Tm1 0.018 0.250 0.247 [4 per cell]
Tl1 0.226 0.750 0.507 [4 per cell]
Zn1 0.236 0.250 0.716 [4 per cell]
Te1 0.043 0.250 0.621 [4 per cell]
Te2 0.077 0.750 0.115 [4 per cell]
Te3 0.233 0.750 0.824 [4 per cell]

Results
calculated total energy: -3.742 eV per atom
total magnetization: 0.018 μB/cell
offset from the most stable computed form: 0.0 kJ/mol of formula units

Record 4
First-principles (PBE) data for crystalline Hf2AlZnNi4 at its relaxed geometry, as listed in OQMD.

a = 4.0850 Å, b = 4.0850 Å, c = 7.9807 Å
α = 90.00°, β = 90.00°, γ = 120.00°
Space group P-3m1 (No. 164)
Asymmetric unit:
Hf1 0.3333 0.6667 0.2513 [2 per cell]
Al1 0.0000 0.0000 0.0000 [1 per cell]
Zn1 0.0000 0.0000 0.5000 [1 per cell]
Ni1 0.3333 0.6667 0.5871 [2 per cell]
Ni2 0.3333 0.6667 0.9143 [2 per cell]

Results
calculated total energy: -6.444 eV per atom
total magnetization: 0.000 μB/cell